Entry 1:
! CuHgBi2, relaxed, DFT PBE; values from VASP
! * DFT total energy: -2.913 eV per atom
! * N(E_F): 1.35 states/eV per cell
! * V: 111.5 Å³/cell
! * formation energy: 0.127 eV/atom
&SYSTEM
  ibrav = 0, nat = 4, ntyp = 3
/
ATOMIC_SPECIES
Hg 200.59 Hg.upf
Bi 208.98 Bi.upf
Cu 63.55 Cu.upf
CELL_PARAMETERS angstrom
-3.387 0.283 -2.422
0.254 -0.931 -4.060
-2.712 -7.256 -0.651
ATOMIC_POSITIONS crystal
Hg 0.500 0.500 0.500
Bi 0.726 0.726 0.823
Cu 0.000 0.000 0.000
Bi 0.274 0.274 0.177

***

Entry 2:
! Cu2HgBi2, relaxed, DFT PBE; values from VASP
! * DFT total energy: -3.138 eV per atom
! * N(E_F): 1.78 states/eV per cell
! * V: 121.5 Å³/cell
! * formation energy: 0.114 eV/atom
&SYSTEM
  ibrav = 0, nat = 5, ntyp = 3
/
ATOMIC_SPECIES
Cu 63.55 Cu.upf
Hg 200.59 Hg.upf
Bi 208.98 Bi.upf
CELL_PARAMETERS angstrom
-2.284 1.507 -2.148
1.628 -1.420 -2.727
-6.269 -8.025 -1.783
ATOMIC_POSITIONS crystal
Cu 0.750 0.250 0.500
Hg 0.000 0.000 0.000
Cu 0.250 0.750 0.500
Bi 0.636 0.636 0.727
Bi 0.364 0.364 0.273

***

Entry 3:
! CuHg3Bi, relaxed, DFT PBE; values from VASP
! * DFT total energy: -1.491 eV per atom
! * N(E_F): 3.59 states/eV per cell
! * V: 131.5 Å³/cell
! * formation energy: 0.286 eV/atom
&SYSTEM
  ibrav = 0, nat = 5, ntyp = 3
/
ATOMIC_SPECIES
Hg 200.59 Hg.upf
Cu 63.55 Cu.upf
Bi 208.98 Bi.upf
CELL_PARAMETERS angstrom
5.086 0.000 0.000
0.000 5.086 0.000
0.000 0.000 5.086
ATOMIC_POSITIONS crystal
Hg 0.000 0.000 0.500
Hg 0.500 0.000 0.000
Cu 0.000 0.000 0.000
Bi 0.500 0.500 0.500
Hg 0.000 0.500 0.000

***

Entry 4:
! Cu2HgBi2, relaxed, DFT PBE; values from VASP
! * DFT total energy: -2.965 eV per atom
! * N(E_F): 3.40 states/eV per cell
! * V: 234.8 Å³/cell
! * formation energy: 0.286 eV/atom
&SYSTEM
  ibrav = 0, nat = 10, ntyp = 3
/
ATOMIC_SPECIES
Cu 63.55 Cu.upf
Hg 200.59 Hg.upf
Bi 208.98 Bi.upf
CELL_PARAMETERS angstrom
-4.726 3.964 5.662
-6.649 -0.735 -5.035
-0.755 -2.936 1.425
ATOMIC_POSITIONS crystal
Cu 0.894 0.394 0.500
Hg 0.500 0.500 0.000
Cu 0.106 0.606 0.500
Bi 0.681 0.181 0.000
Hg 0.000 0.000 0.000
Cu 0.606 0.894 0.500
Bi 0.181 0.319 0.000
Bi 0.819 0.681 0.000
Bi 0.319 0.819 0.000
Cu 0.394 0.106 0.500